{"formula": "MnAlAg", "functional": "GGA-PBE", "state": "optimized geometry", "lattice_angstrom": [[4.2621, 0.0000, 0.0000], [2.1311, 3.6911, 0.0000], [2.1311, 1.2304, 3.4800]], "species": ["Mn", "Al", "Ag"], "frac_coords": [[0.0000, 0.0000, 0.0000], [0.7500, 0.7500, 0.7500], [0.5000, 0.5000, 0.5000]], "energy_ev_per_atom": -4.913, "e_form_kcal_per_mol_atoms": 7.9, "total_magnetization_mub_per_fu": 3.27, "sg": "F-43m, No. 216", "de_polymorph_ev_per_atom": 0.335, "crystal_system": "cubic"}

{"formula": "Rb2ZrScF6", "functional": "GGA-PBE", "state": "optimized geometry", "lattice_angstrom": [[-5.1015, 3.1638, -1.8425], [-3.5415, -5.0657, 1.1074], [-4.9783, 0.4207, 3.8063]], "species": ["Sc", "Rb", "Rb", "Zr", "F", "F", "F", "F", "F", "F"], "frac_coords": [[0.5000, 0.5000, 0.0000], [0.7500, 0.2500, 0.5000], [0.2500, 0.7500, 0.5000], [0.0000, 0.0000, 0.0000], [0.2645, 0.2645, 0.4709], [0.7355, 0.7355, 0.5291], [0.2646, 0.2646, 0.0000], [0.7354, 0.7354, 0.0000], [0.7354, 0.2646, 0.0000], [0.2646, 0.7354, 0.0000]], "energy_ev_per_atom": -5.651, "formation_energy_uncorrected_ev_per_atom": -2.846, "total_magnetization_mub_per_fu": 2.98, "sg": "Fm-3m, No. 225", "crystal_system": "cubic"}

{"formula": "BaTiAs3", "functional": "GGA-PBE", "state": "optimized geometry", "lattice_angstrom": [[5.0281, 0.0000, 0.0000], [0.0000, 5.0281, 0.0000], [0.0000, 0.0000, 5.0281]], "species": ["As", "As", "As", "Ba", "Ti"], "frac_coords": [[0.0000, 0.5000, 0.0000], [0.0000, 0.0000, 0.5000], [0.5000, 0.0000, 0.0000], [0.5000, 0.5000, 0.5000], [0.0000, 0.0000, 0.0000]], "energy_ev_per_atom": -5.417, "e_form_kcal_per_mol_atoms": -15.3, "total_magnetization_mub_per_fu": 0.00, "sg": "Pm-3m, No. 221", "de_polymorph_ev_per_atom": 0.000, "crystal_system": "cubic"}

{"formula": "KTaGe3", "functional": "GGA-PBE", "state": "optimized geometry", "lattice_angstrom": [[5.0506, 0.0000, 0.0000], [0.0000, 5.0506, 0.0000], [0.0000, 0.0000, 5.0506]], "species": ["Ge", "Ge", "Ge", "K", "Ta"], "frac_coords": [[0.0000, 0.5000, 0.0000], [0.0000, 0.0000, 0.5000], [0.5000, 0.0000, 0.0000], [0.0000, 0.0000, 0.0000], [0.5000, 0.5000, 0.5000]], "energy_ev_per_atom": -3.172, "e_form_kcal_per_mol_atoms": 50.5, "total_magnetization_mub_per_fu": 0.00, "sg": "Pm-3m, No. 221", "de_polymorph_ev_per_atom": 2.140, "crystal_system": "cubic"}

{"formula": "HgPdNF2", "functional": "GGA-PBE", "state": "optimized geometry", "lattice_angstrom": [[4.5671, 0.0000, 0.0000], [0.0000, 4.5671, 0.0000], [0.0000, 0.0000, 4.1998]], "species": ["N", "Hg", "Pd", "F", "F"], "frac_coords": [[0.0000, 0.0000, 0.5000], [0.0000, 0.0000, 0.0000], [0.5000, 0.5000, 0.5000], [0.0000, 0.5000, 0.0000], [0.5000, 0.0000, 0.0000]], "energy_ev_per_atom": -2.999, "formation_energy_uncorrected_ev_per_atom": 0.514, "total_magnetization_mub_per_fu": 2.52, "sg": "P4/mmm, No. 123", "de_polymorph_ev_per_atom": 0.612, "crystal_system": "tetragonal"}

{"formula": "Ta4Pt3", "functional": "GGA-PBE", "state": "optimized geometry", "lattice_angstrom": [[-1.6846, 1.6846, 10.6115], [1.6846, -1.6846, 10.6115], [1.6846, 1.6846, -10.6115]], "species": ["Ta", "Ta", "Ta", "Ta", "Pt", "Pt", "Pt"], "frac_coords": [[0.8498, 0.8498, 0.0000], [0.5722, 0.5722, 0.0000], [0.4278, 0.4278, 0.0000], [0.1502, 0.1502, 0.0000], [0.0000, 0.0000, 0.0000], [0.7114, 0.7114, 0.0000], [0.2886, 0.2886, 0.0000]], "energy_ev_per_atom": -9.842, "e_form_kcal_per_mol_atoms": -11.1, "total_magnetization_mub_per_fu": 0.00, "sg": "I4/mmm, No. 139", "de_polymorph_ev_per_atom": 0.000, "crystal_system": "tetragonal"}